PBE CaNi3BP, relaxed; magnetization = 0.00 μB/f.u.; crystal system = orthorhombic; formation energy from the elements = -0.44 eV/atom; D(E_F) = 0.57 states/eV/atom
1.0
5.544 0.000 0.000
0.000 5.479 0.000
0.000 -2.740 5.365
Ni B Ca P
6 2 2 2
direct
0.750 0.821 0.642 Ni
0.500 0.252 0.000 Ni
0.000 0.748 0.000 Ni
0.250 0.179 0.358 Ni
0.500 0.748 0.000 Ni
0.000 0.252 0.000 Ni
0.250 0.001 0.002 B
0.750 0.999 0.998 B
0.750 0.259 0.519 Ca
0.250 0.741 0.481 Ca
0.250 0.381 0.761 P
0.750 0.619 0.239 P